[1]
Below is a geometry-optimized NaLa2Pr structure, with properties calculated at the PBE-GGA level.

Cell and atoms, written as CIF:
```
data_NaLa2Pr
_chemical_formula_sum 'Na1 La2 Pr1'
_cell_length_a 6.169
_cell_length_b 6.169
_cell_length_c 3.790
_cell_angle_alpha 90.00
_cell_angle_beta 90.00
_cell_angle_gamma 90.00
_space_group_name_H-M_alt 'P 4/m m m'
_space_group_IT_number 123
_space_group_name_Hall '-P 4 2'
loop_
_atom_site_label
_atom_site_type_symbol
_atom_site_fract_x
_atom_site_fract_y
_atom_site_fract_z
Na1 Na 0.000 0.000 0.000
La1 La 0.000 0.500 0.500
Pr1 Pr 0.500 0.500 0.000
```

Output
Calculated volume ... 144.23 Å³ per cell
ΔE_f ... 163 meV/atom
Density of states at the Fermi level ... 1.39 states/eV per atom
E ... -15.300 eV for the cell shown

[2]
Below is a geometry-optimized NaLa2Pr structure, with properties calculated at the PBE-GGA level.

Cell and atoms, written as CIF:
```
data_NaLa2Pr
_chemical_formula_sum 'Na3 La6 Pr3'
_cell_length_a 3.7050
_cell_length_b 3.7050
_cell_length_c 37.6443
_cell_angle_alpha 90.00
_cell_angle_beta 90.00
_cell_angle_gamma 120.00
_space_group_name_H-M_alt 'R 3 m'
_space_group_IT_number 160
_space_group_name_Hall 'R 3 -2"'
loop_
_atom_site_label
_atom_site_type_symbol
_atom_site_fract_x
_atom_site_fract_y
_atom_site_fract_z
Na1 Na 0.0000 0.0000 0.0000
La1 La 0.0000 0.0000 0.4200
La2 La 0.0000 0.0000 0.5801
Pr1 Pr 0.0000 0.0000 0.1667
```

Output
Calculated volume ... 447.52 Å³ per cell
ΔE_f ... 91 meV/atom
Density of states at the Fermi level ... 1.45 states/eV per atom
E ... -46.770 eV for the cell shown

[3]
Below is a geometry-optimized NaLa3Pr4S8 structure, with properties calculated at the PBE-GGA level.

Cell and atoms, written as CIF:
```
data_NaLa3Pr4S8
_chemical_formula_sum 'Na3 La9 Pr12 S24'
_cell_length_a 8.2325
_cell_length_b 8.2325
_cell_length_c 20.2815
_cell_angle_alpha 90.00
_cell_angle_beta 90.00
_cell_angle_gamma 120.00
_space_group_name_H-M_alt 'R -3 m'
_space_group_IT_number 166
_space_group_name_Hall '-R 3 2"'
loop_
_atom_site_label
_atom_site_type_symbol
_atom_site_fract_x
_atom_site_fract_y
_atom_site_fract_z
Na1 Na 0.0000 0.0000 0.0000
La1 La 0.0000 0.5000 0.0000
Pr1 Pr 0.0000 0.0000 0.5000
Pr2 Pr 0.0000 0.5000 0.5000
S1 S 0.0000 0.0000 0.2496
S2 S 0.0025 0.5013 0.7499
```

Output
ΔE_f (raw) ... -2016.2 meV/atom
Calculated volume ... 1190.42 Å³ per cell
Density of states at the Fermi level ... 0.65 states/eV per atom
E ... -301.493 eV for the cell shown

no.,total magnetic moment (μB/f.u.)
1,0.000
2,0.000
3,0.000